{
  "formula": "Y3Zn2Ag2",
  "functional": "PBE",
  "state": "relaxed",
  "space_group": "No. 2",
  "formation_enthalpy_0k_ev_per_fu": -1.97,
  "lattice": [[5.5513, 0.5972, -1.2837], [-2.6752, 3.9416, -0.6872], [-0.4639, -1.9402, 7.4637]],
  "species": ["Zn", "Zn", "Y", "Y", "Y", "Ag", "Ag"],
  "frac_coords": [[0.7645, 0.6568, 0.5497], [0.2355, 0.3432, 0.4503], [0.4317, 0.0823, 0.7329], [0.5683, 0.9177, 0.2671], [0.0000, 0.0000, 0.0000], [0.0691, 0.4139, 0.7587], [0.9309, 0.5861, 0.2413]]
}

***

{
  "formula": "YZnAg2",
  "functional": "PBE",
  "state": "relaxed",
  "space_group": "No. 63",
  "formation_enthalpy_0k_ev_per_fu": -0.96,
  "lattice": [[4.6489, 0.0000, 0.0000], [0.0000, 3.4910, 0.0000], [0.0000, -1.7455, 10.1668]],
  "species": ["Y", "Y", "Ag", "Ag", "Ag", "Ag", "Zn", "Zn"],
  "frac_coords": [[0.7500, 0.0987, 0.1974], [0.2500, 0.9013, 0.8026], [0.7500, 0.4638, 0.9276], [0.2500, 0.5362, 0.0724], [0.7500, 0.7320, 0.4641], [0.2500, 0.2680, 0.5359], [0.7500, 0.3353, 0.6706], [0.2500, 0.6647, 0.3294]]
}